Version A
! PmPaS2 | Alexandria | PBE-GGA | relaxed; values from VASP
! SG   R-3m (166)
&SYSTEM
  ibrav = 0, nat = 4, ntyp = 3
/
ATOMIC_SPECIES
S 32.06 S.upf
Pa 231.04 Pa.upf
Pm 145.00 Pm.upf
ATOMIC_POSITIONS crystal
S 0.752 0.752 0.743
S 0.248 0.248 0.257
Pa 0.500 0.500 0.500
Pm 0.000 0.000 0.000
CELL_PARAMETERS angstrom
3.933 0.000 0.000
1.966 3.406 0.000
1.966 1.135 6.559

=====

Version B
! PmPaS2 | Alexandria | PBE-GGA | relaxed; values from VASP
! SG   R3m (160)
&SYSTEM
  ibrav = 0, nat = 4, ntyp = 3
/
ATOMIC_SPECIES
Pm 145.00 Pm.upf
Pa 231.04 Pa.upf
S 32.06 S.upf
ATOMIC_POSITIONS crystal
Pm 0.496 0.496 0.511
Pa 0.670 0.670 0.990
S 0.082 0.082 0.755
S 0.252 0.252 0.243
CELL_PARAMETERS angstrom
3.774 0.000 0.000
1.887 3.268 0.000
1.887 1.089 7.224

=====

Version C
! PmPaS2 | Alexandria | PBE-GGA | relaxed; values from VASP
! SG   P4/mmm (123)
&SYSTEM
  ibrav = 0, nat = 4, ntyp = 3
/
ATOMIC_SPECIES
S 32.06 S.upf
Pa 231.04 Pa.upf
Pm 145.00 Pm.upf
ATOMIC_POSITIONS crystal
S 0.000 0.000 0.763
S 0.000 0.000 0.237
Pa 0.500 0.500 0.000
Pm 0.500 0.500 0.500
CELL_PARAMETERS angstrom
-0.512 -2.541 2.269
3.384 -0.114 0.636
-0.788 4.650 5.029

=====

Short version: version A is the most stable of them.

=====

Version A
! Pm2Pa3S8 | Alexandria | PBE-GGA | relaxed; values from VASP
! SG   Cmmm (65)
&SYSTEM
  ibrav = 0, nat = 13, ntyp = 3
/
ATOMIC_SPECIES
Pm 145.00 Pm.upf
Pa 231.04 Pa.upf
S 32.06 S.upf
ATOMIC_POSITIONS crystal
Pm 0.500 0.269 0.538
Pm 0.500 0.731 0.462
Pa 0.500 0.000 0.000
Pa 0.000 0.266 0.000
Pa 0.000 0.734 0.000
S 0.000 0.622 0.244
S 0.000 0.378 0.756
S 0.000 0.113 0.226
S 0.000 0.887 0.774
S 0.500 0.642 0.762
S 0.500 0.120 0.762
S 0.500 0.880 0.238
S 0.500 0.358 0.238
CELL_PARAMETERS angstrom
-4.259 -0.288 -2.129
4.250 -0.816 -8.392
-2.023 -6.282 4.895

=====

Version B
! Pm2Pa3S8 | Alexandria | PBE-GGA | relaxed; values from VASP
! SG   C2/m (12)
&SYSTEM
  ibrav = 0, nat = 13, ntyp = 3
/
ATOMIC_SPECIES
Pm 145.00 Pm.upf
Pa 231.04 Pa.upf
S 32.06 S.upf
ATOMIC_POSITIONS crystal
Pm 0.336 0.262 0.524
Pm 0.664 0.738 0.476
Pa 0.500 0.000 0.000
Pa 0.000 0.249 0.000
Pa 0.000 0.751 0.000
S 0.914 0.609 0.219
S 0.086 0.391 0.781
S 0.923 0.121 0.242
S 0.077 0.879 0.758
S 0.584 0.642 0.751
S 0.584 0.109 0.751
S 0.416 0.891 0.249
S 0.416 0.358 0.249
CELL_PARAMETERS angstrom
6.592 0.000 0.182
0.000 7.979 0.000
-2.460 -3.989 6.665

=====

Short version: version A is the most stable of them.

=====

Version A
! Pm3PaS6 | Alexandria | PBE-GGA | relaxed; values from VASP
! SG   P2_1/m (11)
&SYSTEM
  ibrav = 0, nat = 20, ntyp = 3
/
ATOMIC_SPECIES
Pm 145.00 Pm.upf
Pa 231.04 Pa.upf
S 32.06 S.upf
ATOMIC_POSITIONS crystal
Pm 0.750 0.420 0.833
Pm 0.250 0.580 0.167
Pm 0.750 0.680 0.505
Pm 0.250 0.320 0.495
Pm 0.750 0.161 0.077
Pm 0.250 0.839 0.923
Pa 0.750 0.045 0.692
Pa 0.250 0.955 0.308
S 0.750 0.479 0.616
S 0.250 0.521 0.384
S 0.750 0.919 0.106
S 0.250 0.081 0.894
S 0.750 0.404 0.073
S 0.250 0.596 0.927
S 0.750 0.757 0.283
S 0.250 0.243 0.717
S 0.750 0.107 0.460
S 0.250 0.893 0.540
S 0.750 0.817 0.750
S 0.250 0.183 0.250
CELL_PARAMETERS angstrom
-0.499 2.953 2.639
-3.198 -7.460 7.744
11.390 1.155 0.863

=====

Version B
! Pm3PaS6 | Alexandria | PBE-GGA | relaxed; values from VASP
! SG   C2/m (12)
&SYSTEM
  ibrav = 0, nat = 10, ntyp = 3
/
ATOMIC_SPECIES
Pm 145.00 Pm.upf
Pa 231.04 Pa.upf
S 32.06 S.upf
ATOMIC_POSITIONS crystal
Pm 0.313 0.248 0.248
Pm 0.687 0.752 0.752
Pm 0.000 0.000 0.000
Pa 0.500 0.500 0.500
S 0.341 0.165 0.658
S 0.659 0.342 0.835
S 0.659 0.835 0.342
S 0.341 0.658 0.165
S 0.097 0.743 0.743
S 0.903 0.257 0.257
CELL_PARAMETERS angstrom
-3.767 -0.651 -5.780
-7.166 -1.207 0.653
-4.546 5.415 -1.801

=====

Short version: version A is the most stable of them.

=====

Version A
! PmPaSb | Alexandria | PBE-GGA | relaxed; values from VASP
! SG   I4mm (107)
&SYSTEM
  ibrav = 0, nat = 3, ntyp = 3
/
ATOMIC_SPECIES
Sb 121.76 Sb.upf
Pa 231.04 Pa.upf
Pm 145.00 Pm.upf
ATOMIC_POSITIONS crystal
Sb 0.616 0.616 0.231
Pa 0.967 0.967 0.935
Pm 0.267 0.267 0.534
CELL_PARAMETERS angstrom
-1.994 -2.965 -1.809
3.370 -1.147 -1.835
0.430 -1.183 5.899

=====

Version B
! PmPaSb | Alexandria | PBE-GGA | relaxed; values from VASP
! SG   I4/mmm (139)
&SYSTEM
  ibrav = 0, nat = 6, ntyp = 3
/
ATOMIC_SPECIES
Sb 121.76 Sb.upf
Pm 145.00 Pm.upf
Pa 231.04 Pa.upf
ATOMIC_POSITIONS crystal
Sb 0.072 0.072 0.144
Sb 0.928 0.928 0.856
Pm 0.619 0.619 0.238
Pm 0.381 0.381 0.762
Pa 0.777 0.777 0.554
Pa 0.223 0.223 0.446
CELL_PARAMETERS angstrom
4.136 0.000 0.000
0.000 4.136 0.000
-2.068 -2.068 10.973

=====

Version C
! PmPaSb | Alexandria | PBE-GGA | relaxed; values from VASP
! SG   P3m1 (156)
&SYSTEM
  ibrav = 0, nat = 3, ntyp = 3
/
ATOMIC_SPECIES
Sb 121.76 Sb.upf
Pa 231.04 Pa.upf
Pm 145.00 Pm.upf
ATOMIC_POSITIONS crystal
Sb 0.333 0.667 0.333
Pa 0.602 0.333 0.667
Pm 0.065 0.000 0.000
CELL_PARAMETERS angstrom
3.431 0.000 0.000
0.000 5.359 0.000
0.000 -2.679 4.641

=====

Short version: version A is the most stable of them.

=====

Version A
! PmPa2Sb | Alexandria | PBE-GGA | relaxed; values from VASP
! SG   Fm-3m (225)
&SYSTEM
  ibrav = 0, nat = 4, ntyp = 3
/
ATOMIC_SPECIES
Sb 121.76 Sb.upf
Pa 231.04 Pa.upf
Pm 145.00 Pm.upf
ATOMIC_POSITIONS crystal
Sb 0.500 0.500 0.500
Pa 0.250 0.250 0.250
Pa 0.750 0.750 0.750
Pm 0.000 0.000 0.000
CELL_PARAMETERS angstrom
-4.600 1.349 -2.349
-4.488 0.267 2.877
-2.233 4.738 1.028

=====

Version B
! PmPa2Sb | Alexandria | PBE-GGA | relaxed; values from VASP
! SG   P4/mmm (123)
&SYSTEM
  ibrav = 0, nat = 4, ntyp = 3
/
ATOMIC_SPECIES
Sb 121.76 Sb.upf
Pa 231.04 Pa.upf
Pm 145.00 Pm.upf
ATOMIC_POSITIONS crystal
Sb 0.500 0.500 0.500
Pa 0.000 0.000 0.695
Pa 0.000 0.000 0.305
Pm 0.500 0.500 0.000
CELL_PARAMETERS angstrom
4.143 0.000 0.000
0.000 4.143 0.000
0.000 0.000 6.700

=====

Short version: version B is the most stable of them.

=====

Version A
! PmScPa | Alexandria | PBE-GGA | relaxed; values from VASP
! SG   I4mm (107)
&SYSTEM
  ibrav = 0, nat = 3, ntyp = 3
/
ATOMIC_SPECIES
Sc 44.96 Sc.upf
Pa 231.04 Pa.upf
Pm 145.00 Pm.upf
ATOMIC_POSITIONS crystal
Sc 0.606 0.606 0.212
Pa 0.955 0.955 0.911
Pm 0.289 0.289 0.577
CELL_PARAMETERS angstrom
-0.133 -3.000 -1.404
-0.361 -1.384 2.991
-7.209 2.810 -1.408

=====

Version B
! PmScPa | Alexandria | PBE-GGA | relaxed; values from VASP
! SG   P-6m2 (187)
&SYSTEM
  ibrav = 0, nat = 3, ntyp = 3
/
ATOMIC_SPECIES
Sc 44.96 Sc.upf
Pa 231.04 Pa.upf
Pm 145.00 Pm.upf
ATOMIC_POSITIONS crystal
Sc 0.667 0.667 0.333
Pa 0.167 0.333 0.667
Pm 0.166 0.000 0.000
CELL_PARAMETERS angstrom
3.217 0.000 0.000
0.000 5.390 0.000
0.000 -2.695 4.668

=====

Short version: version A is the most stable of them.

=====

Version A
! PmSc2Pa | Alexandria | PBE-GGA | relaxed; values from VASP
! SG   P4/mmm (123)
&SYSTEM
  ibrav = 0, nat = 4, ntyp = 3
/
ATOMIC_SPECIES
Sc 44.96 Sc.upf
Pa 231.04 Pa.upf
Pm 145.00 Pm.upf
ATOMIC_POSITIONS crystal
Sc 0.000 0.000 0.769
Sc 0.000 0.000 0.231
Pa 0.500 0.500 0.000
Pm 0.500 0.500 0.500
CELL_PARAMETERS angstrom
3.336 0.000 0.000
0.000 3.336 0.000
0.000 0.000 9.591

=====

Version B
! PmSc2Pa | Alexandria | PBE-GGA | relaxed; values from VASP
! SG   P4/mmm (123)
&SYSTEM
  ibrav = 0, nat = 4, ntyp = 3
/
ATOMIC_SPECIES
Sc 44.96 Sc.upf
Pa 231.04 Pa.upf
Pm 145.00 Pm.upf
ATOMIC_POSITIONS crystal
Sc 0.000 0.000 0.500
Sc 0.000 0.500 0.000
Pa 0.500 0.500 0.500
Pm 0.500 0.000 0.000
CELL_PARAMETERS angstrom
3.512 0.000 0.000
0.000 5.508 0.000
0.000 0.000 5.508

=====

Short version: version A is the most stable of them.

=====

Version A
! PmSc2Pa | Alexandria | PBE-GGA | relaxed; values from VASP
! SG   Fm-3m (225)
&SYSTEM
  ibrav = 0, nat = 4, ntyp = 3
/
ATOMIC_SPECIES
Sc 44.96 Sc.upf
Pa 231.04 Pa.upf
Pm 145.00 Pm.upf
ATOMIC_POSITIONS crystal
Sc 0.250 0.250 0.250
Sc 0.750 0.750 0.750
Pa 0.000 0.000 0.000
Pm 0.500 0.500 0.500
CELL_PARAMETERS angstrom
-0.928 3.618 -3.812
-0.138 -1.495 -5.121
-4.635 -0.039 -2.644

=====

Version B
! PmSc2Pa | Alexandria | PBE-GGA | relaxed; values from VASP
! SG   R3m (160)
&SYSTEM
  ibrav = 0, nat = 4, ntyp = 3
/
ATOMIC_SPECIES
Pm 145.00 Pm.upf
Sc 44.96 Sc.upf
Pa 231.04 Pa.upf
ATOMIC_POSITIONS crystal
Pm 0.666 0.666 0.001
Sc 0.087 0.087 0.739
Sc 0.246 0.246 0.261
Pa 0.500 0.500 0.500
CELL_PARAMETERS angstrom
-3.125 0.728 -0.801
-0.986 -0.188 -3.151
-4.228 -10.411 0.210

=====

Short version: version B is the most stable of them.